# GGA-PBEsol In2FeRe, relaxed
data_In2FeRe
_chemical_formula_sum 'In4 Fe2 Re2'
_space_group_name_H-M_alt 'I 4/m m m'
_space_group_IT_number 139
_space_group_name_Hall '-I 4 2'
_cell_length_a 3.9976
_cell_length_b 3.9976
_cell_length_c 8.3434
_cell_angle_alpha 90.00
_cell_angle_beta 90.00
_cell_angle_gamma 90.00
loop_
_atom_site_label
_atom_site_type_symbol
_atom_site_fract_x
_atom_site_fract_y
_atom_site_fract_z
_atom_site_occupancy
In1 In 0.0000 0.5000 0.2500 1
Fe1 Fe 0.0000 0.0000 0.0000 1
Re1 Re 0.0000 0.0000 0.5000 1
# - polymorph energy (0 for the lowest one) (meV per atom) = 0
# - energy of formation from the pure elements (eV/atom) = 0.56
# - VASP energy (eV/atom) = -6.5097



# GGA-PBEsol In2FeReTc, relaxed
data_In2FeReTc
_chemical_formula_sum 'In2 Fe1 Re1 Tc1'
_space_group_name_H-M_alt 'P 4/m m m'
_space_group_IT_number 123
_space_group_name_Hall '-P 4 2'
_cell_length_a 5.0801
_cell_length_b 5.0801
_cell_length_c 4.3744
_cell_angle_alpha 90.00
_cell_angle_beta 90.00
_cell_angle_gamma 90.00
loop_
_atom_site_label
_atom_site_type_symbol
_atom_site_fract_x
_atom_site_fract_y
_atom_site_fract_z
_atom_site_occupancy
In1 In 0.0000 0.5000 0.0000 1
Fe1 Fe 0.0000 0.0000 0.5000 1
Re1 Re 0.0000 0.0000 0.0000 1
Tc1 Tc 0.5000 0.5000 0.5000 1
# - energy of formation from the pure elements (eV/atom) = 1.72
# - VASP energy (eV/atom) = -6.1816



# GGA-PBEsol InFeRh2, relaxed
data_InFeRh2
_chemical_formula_sum 'In1 Fe1 Rh2'
_space_group_name_H-M_alt 'P m m m'
_space_group_IT_number 47
_cell_length_a 3.0294
_cell_length_b 3.1437
_cell_length_c 6.1015
_cell_angle_alpha 90.00
_cell_angle_beta 90.00
_cell_angle_gamma 90.00
loop_
_space_group_symop_operation_xyz
'x,y,z'
'-x,-y,-z'
'-x,-y,z'
'x,y,-z'
'x,-y,-z'
'-x,y,z'
'-x,y,-z'
'x,-y,z'
loop_
_atom_site_label
_atom_site_type_symbol
_atom_site_fract_x
_atom_site_fract_y
_atom_site_fract_z
_atom_site_occupancy
In1 In 0.0000 0.0000 0.0000 1
Fe1 Fe 0.0000 0.0000 0.5000 1
Rh1 Rh 0.5000 0.5000 0.2714 1
# - energy of formation from the pure elements (eV/atom) = -0.18
# - VASP energy (eV/atom) = -7.2320



Number 1: calculated density 11.75 Mg/m³. Number 2: calculated density 8.38 Mg/m³. Number 3: calculated density 10.76 Mg/m³.